No. 1
Computed, not measured: crystalline NaEr3Tm2Se6 at its relaxed geometry at the PBE level of DFT.

calculated volume	282	Å³/cell
uncorrected formation energy	-1.689	eV per atom

Cell: 9.0599 9.0599 8.1371 Å, 103.08 103.08 25.70°
With the nearest neighbours (Å) after each atom.
Sites, in units of the cell vectors:
Na 0.0000 0.0000 0.0000  6 Se 2.88-2.91
Er 0.0000 0.0000 0.5000  6 Se 2.85
Er 0.3365 0.3365 0.1755  6 Se 2.82-2.91
Er 0.6635 0.6635 0.8245  6 Se 2.82-2.91
Tm 0.3312 0.3312 0.6577  6 Se 2.82-2.91
Tm 0.6688 0.6688 0.3423  6 Se 2.82-2.91
Se 0.1657 0.1657 0.5829  3 Tm 2.82-2.84, 3 Er 2.82-2.85
Se 0.1691 0.1691 0.0849  3 Er 2.88-2.91, 1 Na 2.91, 2 Tm 2.91
Se 0.4974 0.4974 0.7462  3 Er 2.85, 1 Tm 2.86, 2 Na 2.88
Se 0.5026 0.5026 0.2538  3 Er 2.85, 1 Tm 2.86, 2 Na 2.88
Se 0.8309 0.8309 0.9151  3 Er 2.88-2.91, 1 Na 2.91, 2 Tm 2.91
Se 0.8343 0.8343 0.4171  3 Tm 2.82-2.84, 3 Er 2.82-2.85



No. 2
Computed, not measured: crystalline BaHg4Pb12 at its relaxed geometry at the PBE level of DFT.

calculated volume	578	Å³/cell
formation energy	60	meV per atom

Cell: 9.0916 9.0916 9.0916 Å, 109.47 109.47 109.47°
With the nearest neighbours (Å) after each atom.
Sites, in units of the cell vectors:
Ba 0.0000 0.0000 0.0000  12 Pb 4.04
Hg 0.0000 0.0000 0.5000  6 Pb 3.01
Hg 0.0000 0.5000 0.0000  6 Pb 3.01
Hg 0.5000 0.0000 0.0000  6 Pb 3.01
Hg 0.5000 0.5000 0.5000  6 Pb 3.01
Pb 0.1547 0.3523 0.5070  2 Hg 3.01, 2 Pb 3.10-3.25
Pb 0.1547 0.6477 0.8024  2 Hg 3.01, 2 Pb 3.10-3.25
Pb 0.1976 0.8453 0.3523  2 Hg 3.01, 2 Pb 3.10-3.25
Pb 0.3523 0.1976 0.8453  2 Hg 3.01, 2 Pb 3.10-3.25
Pb 0.3523 0.5070 0.1547  2 Hg 3.01, 2 Pb 3.10-3.25
Pb 0.4930 0.8453 0.6477  2 Hg 3.01, 2 Pb 3.10-3.25
Pb 0.5070 0.1547 0.3523  2 Hg 3.01, 2 Pb 3.10-3.25
Pb 0.6477 0.4930 0.8453  2 Hg 3.01, 2 Pb 3.10-3.25
Pb 0.6477 0.8024 0.1547  2 Hg 3.01, 2 Pb 3.10-3.25
Pb 0.8024 0.1547 0.6477  2 Hg 3.01, 2 Pb 3.10-3.25
Pb 0.8453 0.3523 0.1976  2 Hg 3.01, 2 Pb 3.10-3.25
Pb 0.8453 0.6477 0.4930  2 Hg 3.01, 2 Pb 3.10-3.25



No. 3
Computed, not measured: crystalline Na2WS4 at its relaxed geometry at the PBE level of DFT.

calculated volume	325	Å³/cell
uncorrected formation energy	-0.531	eV per atom

Cell: 4.7182 4.7182 14.5963 Å, 90.00 90.00 90.00°
With the nearest neighbours (Å) after each atom.
Sites, in units of the cell vectors:
Na 0.0000 0.0000 0.1467  1 S 2.79
Na 0.0000 0.0000 0.8533  1 S 2.79
Na 0.5000 0.5000 0.3533  1 S 2.79
Na 0.5000 0.5000 0.6467  1 S 2.79
W 0.0000 0.0000 0.5000  6 S 2.36-2.37
W 0.5000 0.5000 0.0000  6 S 2.36-2.37
S 0.0000 0.0000 0.3377  1 W 2.37
S 0.0000 0.0000 0.6623  1 W 2.37
S 0.0000 0.5000 0.0000  2 W 2.36
S 0.0000 0.5000 0.5000  2 W 2.36
S 0.5000 0.0000 0.0000  2 W 2.36
S 0.5000 0.0000 0.5000  2 W 2.36
S 0.5000 0.5000 0.1623  1 W 2.37
S 0.5000 0.5000 0.8377  1 W 2.37